The following is a PBE calculation of crystalline HfMg14Zn at its relaxed geometry, from the Alexandria database.

Cell: 6.3469 6.3469 10.1133 Å, 90.00 90.00 120.00°
Closest atoms and distances in Å follow each position.
Positions (direct):
Hf (0.0000, 0.0000, 0.5000)  12 Mg 3.10-3.17
Zn (0.0000, 0.0000, 0.0000)  12 Mg 3.08-3.17
Mg (0.1614, 0.8386, 0.2488)  10 Mg 3.07-3.27, 1 Zn 3.08, 1 Hf 3.10
Mg (0.6667, 0.3333, 0.2590)  12 Mg 3.08-3.19
Mg (0.4960, 0.9919, 0.5000)  10 Mg 3.08-3.25, 2 Hf 3.17
Mg (0.1614, 0.3229, 0.2488)  10 Mg 3.07-3.27, 1 Zn 3.08, 1 Hf 3.10
Mg (0.1614, 0.3229, 0.7512)  10 Mg 3.07-3.27, 1 Zn 3.08, 1 Hf 3.10
Mg (0.0081, 0.5040, 0.5000)  10 Mg 3.08-3.25, 2 Hf 3.17
Mg (0.5016, 0.4984, 0.0000)  10 Mg 3.13-3.20, 2 Zn 3.17
Mg (0.6771, 0.8386, 0.7512)  10 Mg 3.07-3.27, 1 Zn 3.08, 1 Hf 3.10
Mg (0.5016, 0.0031, 0.0000)  10 Mg 3.13-3.20, 2 Zn 3.17
Mg (0.4960, 0.5040, 0.5000)  10 Mg 3.08-3.25, 2 Hf 3.17
Mg (0.9969, 0.4984, 0.0000)  10 Mg 3.13-3.20, 2 Zn 3.17
Mg (0.6771, 0.8386, 0.2488)  10 Mg 3.07-3.27, 1 Zn 3.08, 1 Hf 3.10
Mg (0.6667, 0.3333, 0.7410)  12 Mg 3.08-3.19
Mg (0.1614, 0.8386, 0.7512)  10 Mg 3.07-3.27, 1 Zn 3.08, 1 Hf 3.10

Results
For the density of states at the Fermi level, the calculation gives 6.617 states/eV/f.u. The energy above the most stable polymorph in this dataset is 3.5 meV per atom. The space group is P-6m2. The mass density is 2749 kg/m3. Its energy of formation from the pure elements is 0.030 eV per atom. The crystal system is hexagonal. The calculation puts the calculated volume at 22.1 Å³ per atom. For the total energy, the calculation gives -2.067 eV per atom.

---

The following is a PBE calculation of crystalline HfMg6Zn at its relaxed geometry, from the Alexandria database.

Cell: 6.3851 6.3851 4.9148 Å, 90.00 90.00 121.53°
Closest atoms and distances in Å follow each position.
Positions (direct):
Zn (0.1811, 0.8189, 0.5000)  2 Hf 2.90, 8 Mg 3.06-3.12
Mg (0.8317, 0.6763, 0.0000)  8 Mg 3.03-3.25, 2 Hf 3.10-3.28, 2 Zn 3.12
Mg (0.1742, 0.3368, 0.5000)  8 Mg 3.03-3.23, 2 Zn 3.06-3.33, 2 Hf 3.10
Mg (0.8326, 0.1674, 0.0000)  10 Mg 3.03-3.25, 2 Hf 3.12
Mg (0.3237, 0.1683, 0.0000)  8 Mg 3.03-3.25, 2 Hf 3.10-3.28, 2 Zn 3.12
Mg (0.6632, 0.8258, 0.5000)  8 Mg 3.03-3.23, 2 Zn 3.06-3.33, 2 Hf 3.10
Mg (0.6739, 0.3261, 0.5000)  10 Mg 3.03-3.23, 2 Zn 3.12
Hf (0.3195, 0.6805, 0.0000)  2 Zn 2.90, 8 Mg 3.10-3.12

Results
For the density of states at the Fermi level, the calculation gives 5.805 states/eV/f.u. The energy above the most stable polymorph in this dataset is 0.0 meV per atom. The space group is Amm2. The mass density is 3789 kg/m3. Its energy of formation from the pure elements is 0.065 eV per atom. The crystal system is orthorhombic. The calculation puts the calculated volume at 21.3 Å³ per atom. For the total energy, the calculation gives -2.534 eV per atom.

---

The following is a PBE calculation of crystalline HfMgZn at its relaxed geometry, from the Alexandria database.

Cell: 3.1264 3.1255 11.9593 Å, 90.00 90.01 90.01°
Closest atoms and distances in Å follow each position.
Positions (direct):
Hf (0.8724, 0.2909, 0.1643)  4 Zn 2.95, 8 Hf 3.12-3.13
Hf (0.3727, 0.7908, 0.3480)  4 Zn 2.95, 8 Hf 3.12-3.13
Zn (0.8727, 0.2915, 0.5115)  4 Mg 2.83, 4 Hf 2.95, 4 Zn 3.13
Zn (0.3720, 0.7915, 0.0007)  4 Mg 2.83, 4 Hf 2.95, 4 Zn 3.13
Mg (0.8719, 0.2911, 0.8528)  4 Zn 2.83, 4 Mg 3.13
Mg (0.3729, 0.7908, 0.6596)  4 Zn 2.83, 4 Mg 3.13

Results
For the density of states at the Fermi level, the calculation gives 1.361 states/eV/f.u. The space group is P4/nmm. The mass density is 7622 kg/m3. Its energy of formation from the pure elements is -0.116 eV per atom. The crystal system is tetragonal. The calculation puts the calculated volume at 19.5 Å³ per atom. For the total energy, the calculation gives -4.390 eV per atom.

---

The following is a PBE calculation of crystalline HfMg2Zn9 at its relaxed geometry, from the Alexandria database.

Cell: 5.1963 5.1963 8.8476 Å, 72.92 72.92 60.00°
Closest atoms and distances in Å follow each position.
Positions (direct):
Zn (0.4139, 0.4139, 0.2517)  7 Zn 2.56-2.63
Zn (0.6667, 0.6667, 0.0000)  6 Zn 2.56-2.59
Zn (0.5000, 0.5000, 0.5000)  6 Zn 2.57
Zn (0.9205, 0.4139, 0.2517)  7 Zn 2.56-2.63
Zn (0.3333, 0.3333, 0.0000)  6 Zn 2.56-2.59
Zn (0.5861, 0.5861, 0.7483)  7 Zn 2.56-2.63
Zn (0.0795, 0.5861, 0.7483)  7 Zn 2.56-2.63
Zn (0.4139, 0.9205, 0.2517)  7 Zn 2.56-2.63
Zn (0.5861, 0.0795, 0.7483)  7 Zn 2.56-2.63
Mg (0.1393, 0.1393, 0.5820)  12 Zn 2.94-3.12, 3 Mg 3.30
Mg (0.8607, 0.8607, 0.4180)  12 Zn 2.94-3.12, 3 Mg 3.30
Hf (0.0000, 0.0000, 0.0000)  18 Zn 3.00-3.34

Results
For the density of states at the Fermi level, the calculation gives 5.375 states/eV/f.u. The space group is R-3m. The mass density is 6960 kg/m3. Its energy of formation from the pure elements is -0.076 eV per atom. The crystal system is trigonal. The calculation puts the calculated volume at 16.2 Å³ per atom. For the total energy, the calculation gives -2.126 eV per atom.

---

The following is a PBE calculation of crystalline HfMg2Zn at its relaxed geometry, from the Alexandria database.

Cell: 7.7310 7.7310 6.1629 Å, 51.15 51.15 90.00°
Closest atoms and distances in Å follow each position.
Positions (direct):
Mg (0.8750, 0.8323, 0.7500)  2 Zn 2.61, 2 Mg 2.92
Mg (0.1677, 0.6250, 0.2500)  2 Zn 2.61, 2 Mg 2.92
Mg (0.5823, 0.1250, 0.2500)  2 Zn 2.61, 2 Mg 2.92
Mg (0.3750, 0.4177, 0.7500)  2 Zn 2.61, 2 Mg 2.92
Zn (0.2500, 0.7500, 0.5000)  4 Mg 2.61, 2 Hf 2.85
Zn (0.5000, 0.5000, 0.0000)  4 Mg 2.61, 2 Hf 2.85
Hf (0.0000, 0.0000, 0.0000)  2 Zn 2.85, 4 Mg 3.06
Hf (0.7500, 0.2500, 0.5000)  2 Zn 2.85, 4 Mg 3.06

Results
For the density of states at the Fermi level, the calculation gives 3.080 states/eV/f.u. The space group is I-42d. The mass density is 5712 kg/m3. Its energy of formation from the pure elements is 0.343 eV per atom. The crystal system is tetragonal. The calculation puts the calculated volume at 21.3 Å³ per atom. For the total energy, the calculation gives -3.261 eV per atom.

---

The following is a PBE calculation of crystalline Hf4MgZn5 at its relaxed geometry, from the Alexandria database.

Cell: 3.2987 3.2987 16.5341 Å, 90.00 90.00 90.00°
Closest atoms and distances in Å follow each position.
Positions (direct):
Zn (0.5000, 0.5000, 0.9004)  4 Hf 2.84, 4 Mg 2.86
Zn (0.5000, 0.5000, 0.5000)  8 Hf 2.86
Zn (0.5000, 0.5000, 0.0996)  4 Hf 2.84, 4 Mg 2.86
Zn (0.5000, 0.5000, 0.3011)  8 Hf 2.85-2.89
Zn (0.5000, 0.5000, 0.6989)  8 Hf 2.85-2.89
Hf (0.0000, 0.0000, 0.8019)  8 Zn 2.84-2.89
Hf (0.0000, 0.0000, 0.4002)  8 Zn 2.85-2.86
Hf (0.0000, 0.0000, 0.1981)  8 Zn 2.84-2.89
Hf (0.0000, 0.0000, 0.5998)  8 Zn 2.85-2.86
Mg (0.0000, 0.0000, 0.0000)  8 Zn 2.86

Results
For the density of states at the Fermi level, the calculation gives 3.906 states/eV/f.u. The space group is P4/mmm. The mass density is 9832 kg/m3. Its energy of formation from the pure elements is -0.155 eV per atom. The crystal system is tetragonal. The calculation puts the calculated volume at 18.0 Å³ per atom. For the total energy, the calculation gives -4.933 eV per atom.

---

The following is a PBE calculation of crystalline HfMg2Zn at its relaxed geometry, from the Alexandria database.

Cell: 3.0161 3.0161 10.7862 Å, 81.96 81.96 60.00°
Closest atoms and distances in Å follow each position.
Positions (direct):
Mg (0.0944, 0.0944, 0.7168)  3 Zn 2.89, 1 Hf 3.02, 6 Mg 3.02
Mg (0.9056, 0.9056, 0.2832)  3 Zn 2.89, 1 Hf 3.02, 6 Mg 3.02
Hf (0.0000, 0.0000, 0.0000)  2 Mg 3.02, 6 Hf 3.02
Zn (0.5000, 0.5000, 0.5000)  6 Mg 2.89, 6 Zn 3.02

Results
For the density of states at the Fermi level, the calculation gives 2.268 states/eV/f.u. The space group is R-3m. The mass density is 5792 kg/m3. Its energy of formation from the pure elements is 0.251 eV per atom. The crystal system is trigonal. The calculation puts the calculated volume at 21.0 Å³ per atom. For the total energy, the calculation gives -3.354 eV per atom.

---

The following is a PBE calculation of crystalline HfMgZn17 at its relaxed geometry, from the Alexandria database.

Cell: 6.7272 6.7272 6.7272 Å, 82.00 82.00 82.00°
Closest atoms and distances in Å follow each position.
Positions (direct):
Zn (0.0009, 0.0009, 0.5073)  10 Zn 2.56-2.73
Zn (0.3103, 0.6954, 0.9997)  8 Zn 2.58-2.77
Zn (0.3484, 0.8511, 0.3484)  9 Zn 2.51-2.75
Zn (0.3103, 0.9997, 0.6954)  8 Zn 2.58-2.77
Zn (0.5073, 0.0009, 0.0009)  10 Zn 2.56-2.73
Zn (0.9997, 0.3103, 0.6954)  8 Zn 2.58-2.77
Zn (0.6427, 0.6427, 0.1751)  8 Zn 2.51-2.77
Zn (0.0009, 0.5073, 0.0009)  10 Zn 2.56-2.73
Zn (0.1751, 0.6427, 0.6427)  8 Zn 2.51-2.77
Zn (0.1033, 0.1033, 0.1033)  7 Zn 2.68-2.74
Zn (0.6427, 0.1751, 0.6427)  8 Zn 2.51-2.77
Zn (0.3484, 0.3484, 0.8511)  9 Zn 2.51-2.75
Zn (0.6954, 0.9997, 0.3103)  8 Zn 2.58-2.77
Zn (0.9002, 0.9002, 0.9002)  7 Zn 2.65-2.91
Zn (0.6954, 0.3103, 0.9997)  8 Zn 2.58-2.77
Zn (0.9997, 0.6954, 0.3103)  8 Zn 2.58-2.77
Zn (0.8511, 0.3484, 0.3484)  9 Zn 2.51-2.75
Hf (0.3347, 0.3347, 0.3347)  16 Zn 3.05-3.37
Mg (0.6336, 0.6336, 0.6336)  12 Zn 2.99-3.08

Results
For the density of states at the Fermi level, the calculation gives 4.811 states/eV/f.u. The space group is R3m. The mass density is 7368 kg/m3. Its energy of formation from the pure elements is -0.047 eV per atom. The crystal system is trigonal. The calculation puts the calculated volume at 15.6 Å³ per atom. For the total energy, the calculation gives -1.795 eV per atom.

---

The following is a PBE calculation of crystalline HfMgZn11 at its relaxed geometry, from the Alexandria database.

Cell: 5.3256 6.7744 6.6817 Å, 80.94 66.51 66.72°
Closest atoms and distances in Å follow each position.
Positions (direct):
Zn (0.5047, 0.7933, 0.2110)  6 Zn 2.54-2.80, 1 Mg 2.62
Zn (0.3425, 0.6539, 0.6448)  7 Zn 2.61-2.92, 1 Mg 2.75
Zn (0.9873, 0.6539, 0.3552)  7 Zn 2.61-2.92, 1 Mg 2.75
Zn (0.7157, 0.7933, 0.7890)  6 Zn 2.54-2.80, 1 Mg 2.62
Zn (0.4953, 0.2067, 0.7890)  6 Zn 2.54-2.80, 1 Mg 2.62
Zn (0.0000, 0.0000, 0.5000)  10 Zn 2.54-2.71
Zn (0.2843, 0.2067, 0.2110)  6 Zn 2.54-2.80, 1 Mg 2.62
Zn (0.6575, 0.3461, 0.3552)  7 Zn 2.61-2.92, 1 Mg 2.75
Zn (0.0127, 0.3461, 0.6448)  7 Zn 2.61-2.92, 1 Mg 2.75
Zn (0.5000, 0.0000, 0.5000)  10 Zn 2.54-2.71
Zn (0.0000, 0.5000, 0.0000)  8 Zn 2.58-2.71, 2 Mg 2.66
Mg (0.5000, 0.5000, 0.0000)  10 Zn 2.62-2.75
Hf (0.0000, 0.0000, 0.0000)  18 Zn 3.06-3.39, 2 Mg 3.38

Results
For the density of states at the Fermi level, the calculation gives 3.247 states/eV/f.u. The space group is C2/m. The mass density is 7541 kg/m3. Its energy of formation from the pure elements is -0.047 eV per atom. The crystal system is monoclinic. The calculation puts the calculated volume at 15.6 Å³ per atom. For the total energy, the calculation gives -2.013 eV per atom.

---

The following is a PBE calculation of crystalline HfMgZn3 at its relaxed geometry, from the Alexandria database.

Cell: 5.1924 5.1924 5.1924 Å, 90.00 90.00 90.00°
Closest atoms and distances in Å follow each position.
Positions (direct):
Zn (0.5000, 0.0000, 0.0000)  2 Hf 2.60
Zn (0.0000, 0.5000, 0.0000)  2 Hf 2.60
Zn (0.0000, 0.0000, 0.5000)  2 Hf 2.60
Mg (0.5000, 0.5000, 0.5000)  12 Zn 3.67
Hf (0.0000, 0.0000, 0.0000)  6 Zn 2.60

Results
For the density of states at the Fermi level, the calculation gives 5.152 states/eV/f.u. The energy above the most stable polymorph in this dataset is 1047.4 meV per atom. The space group is Pm-3m. The mass density is 4733 kg/m3. Its energy of formation from the pure elements is 0.884 eV per atom. The crystal system is cubic. The calculation puts the calculated volume at 28.0 Å³ per atom. For the total energy, the calculation gives -2.190 eV per atom.